# CoOF, relaxed, DFT PBE with a Hubbard U
# Excess energy over the best structure of this formula in the dataset, eV per atom: 0.072
data_CoOF
_chemical_formula_sum 'Co6 O6 F6'
_cell_length_a 4.635
_cell_length_b 2.975
_cell_length_c 13.753
_cell_angle_alpha 90.00
_cell_angle_beta 95.64
_cell_angle_gamma 90.00
_symmetry_space_group_name_H-M 'P 1 m 1'
_symmetry_Int_Tables_number 6
loop_
_symmetry_equiv_pos_as_xyz
'x,y,z'
'x,-y,z'
loop_
_atom_site_label
_atom_site_type_symbol
_atom_site_fract_x
_atom_site_fract_y
_atom_site_fract_z
Co1 Co 0.000 0.000 0.000
Co2 Co 0.033 0.000 0.668
Co3 Co 0.413 0.500 0.502
Co4 Co 0.468 0.500 0.166
Co5 Co 0.521 0.500 0.832
Co6 Co 0.932 0.000 0.333
O1 O 0.122 0.500 0.395
O2 O 0.187 0.500 0.066
O3 O 0.222 0.500 0.730
O4 O 0.266 0.000 0.569
O5 O 0.747 0.500 0.266
O6 O 0.819 0.500 0.935
F1 F 0.266 0.000 0.229
F2 F 0.320 0.000 0.898
F3 F 0.621 0.000 0.438
F4 F 0.672 0.000 0.102
F5 F 0.730 0.000 0.764
F6 F 0.790 0.500 0.603